Record 1
A geometry-optimized Ac6TlRh2 structure, computed with PBE.

## Properties
The value obtained for the offset from the most stable computed form is 0.127 eV per atom.

abc: 6.956 6.956 9.976
angles: 103.76 103.76 41.69
Fractional coordinates of all 9 atoms:
Ac  0.023  0.023  0.346
Ac  0.275  0.275  0.662
Ac  0.347  0.347  0.111
Ac  0.653  0.653  0.889
Ac  0.725  0.725  0.338
Ac  0.977  0.977  0.654
Tl  0.000  0.000  0.000
Rh  0.378  0.378  0.417
Rh  0.622  0.622  0.583

***

Record 2
A geometry-optimized PrTm5Rh4 structure, computed with PBE.

abc: 3.395 3.395 19.096
angles: 90.00 90.00 90.00
Fractional coordinates of all 10 atoms:
Pr  0.000  0.000  0.000
Tm  0.500  0.500  0.149
Tm  0.500  0.500  0.323
Tm  0.500  0.500  0.500
Tm  0.500  0.500  0.677
Tm  0.500  0.500  0.851
Rh  0.000  0.000  0.233
Rh  0.000  0.000  0.411
Rh  0.000  0.000  0.589
Rh  0.000  0.000  0.767

***

no.,energy of formation (meV per atom),calculated density (g/cm³),magnetic moment (μB/cell)
1,-303.1,9.48,0.00
2,-780.4,10.54,0.00